[1]
CrPb5: relaxed, GGA-PBE.

Relative energy among the computed polymorphs (kJ/mol of formula units): 186.5
V (Å³/atom): 33.85

abc: 6.2727 6.2727 5.9599
angles: 90.00 90.00 120.00
With the nearest neighbours (Å) after each atom.
Fractional positions:
Pb1 0.6667 0.3333 0.0000  9 Pb 3.49-3.62, 3 Cr 3.62
Pb2 0.5000 0.0000 0.5000  8 Pb 3.14-3.49
Pb3 0.5000 0.5000 0.5000  8 Pb 3.14-3.49
Pb4 0.3333 0.6667 0.0000  9 Pb 3.49-3.62, 3 Cr 3.62
Cr1 0.0000 0.0000 0.0000  6 Pb 3.62
Pb5 0.0000 0.5000 0.5000  8 Pb 3.14-3.49

***

[2]
CrPb2: relaxed, GGA-PBE.

Electronic total energy (eV per cell): -15.782
V (Å³/atom): 27.07

abc: 4.8606 4.8606 4.8606
angles: 60.00 60.00 60.00
With the nearest neighbours (Å) after each atom.
Fractional positions:
Cr1 0.0000 0.0000 0.0000  8 Pb 2.98
Pb1 0.2500 0.2500 0.2500  4 Cr 2.98
Pb2 0.7500 0.7500 0.7500  4 Cr 2.98